(1)
Below is an optimized crystal structure of Sr2AlPd, with properties calculated at the PBE level.

Output
Its formation enthalpy at 0 K is -0.481 eV/atom. Its size of the total moment is 0.00 μB per cell.

Cell: 7.6663 4.4224 8.5105 Å, 90.00 106.99 90.00°
Closest atoms and distances in Å follow each position.
Positions (direct):
Sr  0.0000  0.0000  0.0000  3 Al 3.33-3.34, 3 Pd 3.34
Sr  0.1713  0.0000  0.5267  3 Pd 3.33-3.34, 3 Al 3.33-3.34
Sr  0.5000  0.5000  0.0000  3 Al 3.33-3.34, 3 Pd 3.34
Sr  0.6713  0.5000  0.5267  3 Pd 3.33-3.34, 3 Al 3.33-3.34
Al  0.4188  0.0000  0.2633  3 Pd 2.55-2.56
Al  0.9188  0.5000  0.2633  3 Pd 2.55-2.56
Pd  0.2519  0.5000  0.2637  3 Al 2.55-2.56
Pd  0.7519  0.0000  0.2637  3 Al 2.55-2.56

***

(2)
Below is an optimized crystal structure of Sm2Y3Sn4, with properties calculated at the PBE level.

Output
Its formation enthalpy at 0 K is -0.803 eV/atom. Its size of the total moment is 0.00 μB per cell.

Cell: 8.3522 8.3143 8.0178 Å, 90.00 110.88 90.00°
Closest atoms and distances in Å follow each position.
Positions (direct):
Sm  0.1930  0.1793  0.0607  5 Sn 3.17-3.43
Sm  0.1930  0.3207  0.5607  5 Sn 3.17-3.43
Sm  0.8070  0.6793  0.4393  5 Sn 3.17-3.43
Sm  0.8070  0.8207  0.9393  5 Sn 3.17-3.43
Y  0.2454  0.6674  0.2378  6 Sn 3.04-3.21
Y  0.2454  0.8326  0.7378  6 Sn 3.04-3.21
Y  0.5000  0.0000  0.5000  6 Sn 3.16-3.27
Y  0.5000  0.5000  0.0000  6 Sn 3.16-3.27
Y  0.7546  0.1674  0.2622  6 Sn 3.04-3.21
Y  0.7546  0.3326  0.7622  6 Sn 3.04-3.21
Sn  0.0828  0.5372  0.8351  4 Y 3.04-3.27, 2 Sm 3.22-3.40
Sn  0.0828  0.9628  0.3351  4 Y 3.04-3.27, 2 Sm 3.22-3.40
Sn  0.4867  0.1354  0.8637  1 Sn 3.09, 5 Y 3.11-3.21, 2 Sm 3.17-3.38
Sn  0.4867  0.3646  0.3637  1 Sn 3.09, 5 Y 3.11-3.21, 2 Sm 3.17-3.38
Sn  0.5133  0.6354  0.6363  1 Sn 3.09, 5 Y 3.11-3.21, 2 Sm 3.17-3.38
Sn  0.5133  0.8646  0.1363  1 Sn 3.09, 5 Y 3.11-3.21, 2 Sm 3.17-3.38
Sn  0.9172  0.0372  0.6649  4 Y 3.04-3.27, 2 Sm 3.22-3.40
Sn  0.9172  0.4628  0.1649  4 Y 3.04-3.27, 2 Sm 3.22-3.40

***

(3)
Below is an optimized crystal structure of Na2FePd, with properties calculated at the PBE level.

Output
For the relative energy among the computed polymorphs, the calculation gives 0.00 kJ/mol of atoms. Its formation enthalpy at 0 K is 0.622 eV/atom. Its size of the total moment is 12.80 μB per cell.

Cell: 6.7518 6.7518 6.7518 Å, 90.00 90.00 90.00°
Closest atoms and distances in Å follow each position.
Positions (direct):
Na  0.2500  0.2500  0.2500  4 Fe 2.92, 4 Pd 2.92
Na  0.2500  0.2500  0.7500  4 Fe 2.92, 4 Pd 2.92
Na  0.2500  0.7500  0.2500  4 Fe 2.92, 4 Pd 2.92
Na  0.2500  0.7500  0.7500  4 Fe 2.92, 4 Pd 2.92
Na  0.7500  0.2500  0.2500  4 Fe 2.92, 4 Pd 2.92
Na  0.7500  0.2500  0.7500  4 Fe 2.92, 4 Pd 2.92
Na  0.7500  0.7500  0.2500  4 Fe 2.92, 4 Pd 2.92
Na  0.7500  0.7500  0.7500  4 Fe 2.92, 4 Pd 2.92
Fe  0.0000  0.0000  0.0000  8 Na 2.92
Fe  0.0000  0.5000  0.5000  8 Na 2.92
Fe  0.5000  0.0000  0.5000  8 Na 2.92
Fe  0.5000  0.5000  0.0000  8 Na 2.92
Pd  0.0000  0.0000  0.5000  8 Na 2.92
Pd  0.0000  0.5000  0.0000  8 Na 2.92
Pd  0.5000  0.0000  0.0000  8 Na 2.92
Pd  0.5000  0.5000  0.5000  8 Na 2.92